Entry from Alexandria via LeMat-Bulk: an optimized crystal structure of MnGaHgF6 (PBE+U).

Summary:
Crystal system ... trigonal
Total energy ... -84.15 eV/cell
Magnetic moment ... 8.69 μB per cell

Geometry as CIF:
```
data_MnGaHgF6
_cell_length_a 5.5301
_cell_length_b 5.5301
_cell_length_c 11.0376
_cell_angle_alpha 90.00
_cell_angle_beta 90.00
_cell_angle_gamma 120.00
_symmetry_space_group_name_H-M 'P -3 1 c'
_symmetry_Int_Tables_number 163
_symmetry_space_group_name_Hall '-P 3 2c'
loop_
_atom_site_label
_atom_site_type_symbol
_atom_site_fract_x
_atom_site_fract_y
_atom_site_fract_z
_atom_site_occupancy
Mn1 Mn 0.3333 0.6667 0.2500 1
Ga1 Ga 0.3333 0.6667 0.7500 1
Hg1 Hg 0.0000 0.0000 0.0000 1
F1 F 0.0286 0.3921 0.6521 1
```